PrCuS2: optimized geometry, PBE.

a b c (Å): 7.2559 6.5532 6.9249
angles (deg): 82.39 90.00 90.00
Closest atoms and distances in Å follow each position.
Element x y z (fractional)
Cu  0.8348  0.4266  0.5475  4 S 2.33-2.57
Pr  0.5507  0.8094  0.2997  7 S 2.86-3.13
Pr  0.9493  0.8094  0.7997  7 S 2.86-3.13
Cu  0.1652  0.5734  0.4525  4 S 2.33-2.57
Pr  0.4493  0.1906  0.7003  7 S 2.86-3.13
S  0.7741  0.0868  0.5013  1 Cu 2.33
S  0.6151  0.5887  0.7230  3 Cu 2.34-2.57
Cu  0.6652  0.4266  0.0475  4 S 2.33-2.57
S  0.8849  0.5887  0.2230  3 Cu 2.34-2.57
S  0.2259  0.9132  0.4987  1 Cu 2.33
S  0.7259  0.0868  0.0013  1 Cu 2.33
Cu  0.3348  0.5734  0.9525  4 S 2.33-2.57
S  0.3849  0.4113  0.2770  3 Cu 2.34-2.57
Pr  0.0507  0.1906  0.2003  7 S 2.86-3.13
S  0.1151  0.4113  0.7770  3 Cu 2.34-2.57
S  0.2741  0.9132  0.9987  1 Cu 2.33

- E_tot (eV/atom) = -5.661
- volume (Å³/f.u.) = 81.6